Entry 1:
## HoEr5Sc (GGA-PBE)

Data for a relaxed HoEr5Sc crystal.

Structure (POSCAR):
```
HoEr5Sc
1.0
-1.8557 -2.5329 1.6494
7.4501 -4.9717 0.7469
0.6507 7.0264 11.5223
Ho Er Sc
2 10 2
direct
0.7500 0.1301 0.1507 Ho
0.2500 0.8699 0.8493 Ho
0.2500 0.0101 0.3640 Er
0.7500 0.1884 0.8965 Er
0.7500 0.3210 0.5079 Er
0.2500 0.4257 0.0847 Er
0.2500 0.3368 0.7257 Er
0.7500 0.6632 0.2743 Er
0.7500 0.5743 0.9153 Er
0.2500 0.6790 0.4921 Er
0.2500 0.8116 0.1035 Er
0.7500 0.9899 0.6360 Er
0.2500 0.3639 0.3121 Sc
0.7500 0.6361 0.6879 Sc
```

## Properties
The symmetry is P2_1/m. The value obtained for the energy of formation from the pure elements is 0.067 eV/atom. The mass density is 8196 kg/m3.

=====

Entry 2:
## Na2PPd6 (GGA-PBE)

Data for a relaxed Na2PPd6 crystal.

Structure (POSCAR):
```
Na2PPd6
1.0
5.9866 0.0000 -0.1568
0.0000 5.9909 0.0000
0.2264 0.0000 8.4714
Na P Pd
4 2 12
direct
0.9996 0.5000 0.7501 Na
0.5004 0.0000 0.7499 Na
0.4996 0.0000 0.2501 Na
0.0004 0.5000 0.2499 Na
0.5000 0.5000 0.0000 P
0.0000 0.0000 0.5000 P
0.0000 0.0000 0.2340 Pd
0.7341 0.7339 0.4998 Pd
0.7661 0.7660 0.0002 Pd
0.7339 0.2660 0.4998 Pd
0.7659 0.2339 0.0002 Pd
0.5000 0.5000 0.2660 Pd
0.0000 0.0000 0.7660 Pd
0.2659 0.2661 0.5002 Pd
0.2339 0.2340 0.9998 Pd
0.2661 0.7340 0.5002 Pd
0.2341 0.7661 0.9998 Pd
0.5000 0.5000 0.7340 Pd
```

## Properties
The symmetry is Fm-3m. The value obtained for the energy of formation from the pure elements is -0.370 eV/atom. The mass density is 7815 kg/m3.